Record 1
## Bi2SeS (meta-GGA SCAN)

Data for a crystal of Bi2SeS relaxed with PBEsol.

* N(E_F): 6.4 states/eV/cell
* M_tot: 0.000 Bohr magnetons per cell
* ΔE_f (raw): -0.027 eV per atom
* symmetry: I-42d (122)

Structure (CIF):
```
data_Bi2SeS
_chemical_formula_sum 'Bi8 Se4 S4'
_cell_length_a 7.737
_cell_length_b 7.737
_cell_length_c 7.025
_cell_angle_alpha 90.00
_cell_angle_beta 90.00
_cell_angle_gamma 90.00
_space_group_name_H-M_alt 'P 1'
_space_group_IT_number 1
loop_
_space_group_symop_operation_xyz
'x,y,z'
loop_
_atom_site_label
_atom_site_type_symbol
_atom_site_fract_x
_atom_site_fract_y
_atom_site_fract_z
Bi1 Bi 0.239 0.250 0.125
Bi2 Bi 0.250 0.739 0.375
Bi3 Bi 0.250 0.761 0.875
Bi4 Bi 0.261 0.250 0.625
Bi5 Bi 0.739 0.750 0.625
Bi6 Bi 0.750 0.239 0.875
Bi7 Bi 0.750 0.261 0.375
Bi8 Bi 0.761 0.750 0.125
Se1 Se 0.000 0.000 0.500
Se2 Se 0.000 0.500 0.750
Se3 Se 0.500 0.000 0.250
Se4 Se 0.500 0.500 0.000
S1 S 0.000 0.000 0.000
S2 S 0.000 0.500 0.250
S3 S 0.500 0.000 0.750
S4 S 0.500 0.500 0.500
```

=====

Record 2
## SiBi3S (meta-GGA SCAN)

Data for a crystal of SiBi3S relaxed with PBEsol.

* N(E_F): 4.6 states/eV/cell
* M_tot: 0.000 Bohr magnetons per cell
* ΔE_f (raw): 0.934 eV per atom
* symmetry: Pm-3m (221)

Structure (CIF):
```
data_SiBi3S
_chemical_formula_sum 'Si1 Bi3 S1'
_cell_length_a 5.292
_cell_length_b 5.292
_cell_length_c 5.292
_cell_angle_alpha 90.00
_cell_angle_beta 90.00
_cell_angle_gamma 90.00
_space_group_name_H-M_alt 'P 1'
_space_group_IT_number 1
loop_
_space_group_symop_operation_xyz
'x,y,z'
loop_
_atom_site_label
_atom_site_type_symbol
_atom_site_fract_x
_atom_site_fract_y
_atom_site_fract_z
Si1 Si 0.000 0.000 0.000
Bi1 Bi 0.000 0.500 0.500
Bi2 Bi 0.500 0.000 0.500
Bi3 Bi 0.500 0.500 0.000
S1 S 0.500 0.500 0.500
```

=====

Record 3
## SiBi2TeS (meta-GGA SCAN)

Data for a crystal of SiBi2TeS relaxed with PBEsol.

* N(E_F): 5.3 states/eV/cell
* M_tot: 0.000 Bohr magnetons per cell
* ΔE_f (raw): 0.916 eV per atom
* symmetry: P4/mmm (123)

Structure (CIF):
```
data_SiBi2TeS
_chemical_formula_sum 'Si1 Bi2 Te1 S1'
_cell_length_a 5.305
_cell_length_b 5.305
_cell_length_c 5.108
_cell_angle_alpha 90.00
_cell_angle_beta 90.00
_cell_angle_gamma 90.00
_space_group_name_H-M_alt 'P 1'
_space_group_IT_number 1
loop_
_space_group_symop_operation_xyz
'x,y,z'
loop_
_atom_site_label
_atom_site_type_symbol
_atom_site_fract_x
_atom_site_fract_y
_atom_site_fract_z
Si1 Si 0.000 0.000 0.000
Bi1 Bi 0.000 0.500 0.500
Bi2 Bi 0.500 0.000 0.500
Te1 Te 0.500 0.500 0.000
S1 S 0.500 0.500 0.500
```

=====

Record 4
## SmBiS3 (meta-GGA SCAN)

Data for a crystal of SmBiS3 relaxed with PBEsol.

* N(E_F): 0.0 states/eV/cell
* M_tot: 0.000 Bohr magnetons per cell
* ΔE_f (raw): -1.322 eV per atom
* symmetry: Pnma (62)

Structure (CIF):
```
data_SmBiS3
_chemical_formula_sum 'Sm4 Bi4 S12'
_cell_length_a 10.844
_cell_length_b 3.989
_cell_length_c 10.697
_cell_angle_alpha 90.00
_cell_angle_beta 90.00
_cell_angle_gamma 90.00
_space_group_name_H-M_alt 'P 1'
_space_group_IT_number 1
loop_
_space_group_symop_operation_xyz
'x,y,z'
loop_
_atom_site_label
_atom_site_type_symbol
_atom_site_fract_x
_atom_site_fract_y
_atom_site_fract_z
Sm1 Sm 0.011 0.250 0.174
Sm2 Sm 0.489 0.750 0.674
Sm3 Sm 0.511 0.250 0.326
Sm4 Sm 0.989 0.750 0.826
Bi1 Bi 0.177 0.250 0.528
Bi2 Bi 0.323 0.750 0.028
Bi3 Bi 0.677 0.250 0.972
Bi4 Bi 0.823 0.750 0.472
S1 S 0.047 0.750 0.366
S2 S 0.118 0.250 0.939
S3 S 0.224 0.750 0.697
S4 S 0.276 0.250 0.197
S5 S 0.382 0.750 0.439
S6 S 0.453 0.250 0.866
S7 S 0.547 0.750 0.134
S8 S 0.618 0.250 0.561
S9 S 0.724 0.750 0.803
S10 S 0.776 0.250 0.303
S11 S 0.882 0.750 0.061
S12 S 0.953 0.250 0.634
```

=====

Record 5
## Sn3BiS (meta-GGA SCAN)

Data for a crystal of Sn3BiS relaxed with PBEsol.

* N(E_F): 3.9 states/eV/cell
* M_tot: 0.000 Bohr magnetons per cell
* ΔE_f (raw): 1.036 eV per atom
* symmetry: Pm-3m (221)

Structure (CIF):
```
data_Sn3BiS
_chemical_formula_sum 'Sn3 Bi1 S1'
_cell_length_a 5.778
_cell_length_b 5.778
_cell_length_c 5.778
_cell_angle_alpha 90.00
_cell_angle_beta 90.00
_cell_angle_gamma 90.00
_space_group_name_H-M_alt 'P 1'
_space_group_IT_number 1
loop_
_space_group_symop_operation_xyz
'x,y,z'
loop_
_atom_site_label
_atom_site_type_symbol
_atom_site_fract_x
_atom_site_fract_y
_atom_site_fract_z
Sn1 Sn 0.000 0.000 0.500
Sn2 Sn 0.000 0.500 0.000
Sn3 Sn 0.500 0.000 0.000
Bi1 Bi 0.000 0.000 0.000
S1 S 0.500 0.500 0.500
```

=====

Record 6
## SrBiS3 (meta-GGA SCAN)

Data for a crystal of SrBiS3 relaxed with PBEsol.

* N(E_F): 2.9 states/eV/cell
* M_tot: 0.000 Bohr magnetons per cell
* ΔE_f (raw): -0.704 eV per atom
* symmetry: Pm-3m (221)

Structure (CIF):
```
data_SrBiS3
_chemical_formula_sum 'Sr1 Bi1 S3'
_cell_length_a 5.165
_cell_length_b 5.165
_cell_length_c 5.165
_cell_angle_alpha 90.00
_cell_angle_beta 90.00
_cell_angle_gamma 90.00
_space_group_name_H-M_alt 'P 1'
_space_group_IT_number 1
loop_
_space_group_symop_operation_xyz
'x,y,z'
loop_
_atom_site_label
_atom_site_type_symbol
_atom_site_fract_x
_atom_site_fract_y
_atom_site_fract_z
Sr1 Sr 0.000 0.000 0.000
Bi1 Bi 0.500 0.500 0.500
S1 S 0.000 0.500 0.500
S2 S 0.500 0.000 0.500
S3 S 0.500 0.500 0.000
```

=====

Record 7
## TaBiS2 (meta-GGA SCAN)

Data for a crystal of TaBiS2 relaxed with PBEsol.

* N(E_F): 5.5 states/eV/cell
* M_tot: 0.000 Bohr magnetons per cell
* ΔE_f (raw): -0.723 eV per atom
* symmetry: R-3m (166)

Structure (CIF):
```
data_TaBiS2
_chemical_formula_sum 'Ta3 Bi3 S6'
_cell_length_a 3.335
_cell_length_b 3.335
_cell_length_c 26.636
_cell_angle_alpha 90.00
_cell_angle_beta 90.00
_cell_angle_gamma 120.00
_space_group_name_H-M_alt 'P 1'
_space_group_IT_number 1
loop_
_space_group_symop_operation_xyz
'x,y,z'
loop_
_atom_site_label
_atom_site_type_symbol
_atom_site_fract_x
_atom_site_fract_y
_atom_site_fract_z
Ta1 Ta 0.000 0.000 0.000
Ta2 Ta 0.333 0.667 0.667
Ta3 Ta 0.667 0.333 0.333
Bi1 Bi 0.000 0.000 0.500
Bi2 Bi 0.333 0.667 0.167
Bi3 Bi 0.667 0.333 0.833
S1 S 0.000 0.000 0.391
S2 S 0.000 0.000 0.609
S3 S 0.333 0.667 0.058
S4 S 0.333 0.667 0.275
S5 S 0.667 0.333 0.725
S6 S 0.667 0.333 0.942
```

=====

Record 8
## TaBi3S (meta-GGA SCAN)

Data for a crystal of TaBi3S relaxed with PBEsol.

* N(E_F): 2.8 states/eV/cell
* M_tot: 0.000 Bohr magnetons per cell
* ΔE_f (raw): 0.657 eV per atom
* symmetry: Pm-3m (221)

Structure (CIF):
```
data_TaBi3S
_chemical_formula_sum 'Ta1 Bi3 S1'
_cell_length_a 5.350
_cell_length_b 5.350
_cell_length_c 5.350
_cell_angle_alpha 90.00
_cell_angle_beta 90.00
_cell_angle_gamma 90.00
_space_group_name_H-M_alt 'P 1'
_space_group_IT_number 1
loop_
_space_group_symop_operation_xyz
'x,y,z'
loop_
_atom_site_label
_atom_site_type_symbol
_atom_site_fract_x
_atom_site_fract_y
_atom_site_fract_z
Ta1 Ta 0.000 0.000 0.000
Bi1 Bi 0.000 0.000 0.500
Bi2 Bi 0.000 0.500 0.000
Bi3 Bi 0.500 0.000 0.000
S1 S 0.500 0.500 0.500
```

=====

Record 9
## TcBiS2 (meta-GGA SCAN)

Data for a crystal of TcBiS2 relaxed with PBEsol.

* N(E_F): 4.2 states/eV/cell
* M_tot: 5.978 Bohr magnetons per cell
* ΔE_f (raw): -0.316 eV per atom
* symmetry: R-3m (166)

Structure (CIF):
```
data_TcBiS2
_chemical_formula_sum 'Tc3 Bi3 S6'
_cell_length_a 3.390
_cell_length_b 3.390
_cell_length_c 25.197
_cell_angle_alpha 90.00
_cell_angle_beta 90.00
_cell_angle_gamma 120.00
_space_group_name_H-M_alt 'P 1'
_space_group_IT_number 1
loop_
_space_group_symop_operation_xyz
'x,y,z'
loop_
_atom_site_label
_atom_site_type_symbol
_atom_site_fract_x
_atom_site_fract_y
_atom_site_fract_z
Tc1 Tc 0.000 0.000 0.000
Tc2 Tc 0.333 0.667 0.667
Tc3 Tc 0.667 0.333 0.333
Bi1 Bi 0.000 0.000 0.500
Bi2 Bi 0.333 0.667 0.167
Bi3 Bi 0.667 0.333 0.833
S1 S 0.000 0.000 0.388
S2 S 0.000 0.000 0.612
S3 S 0.333 0.667 0.054
S4 S 0.333 0.667 0.279
S5 S 0.667 0.333 0.721
S6 S 0.667 0.333 0.946
```

=====

Record 10
## Tc3BiS (meta-GGA SCAN)

Data for a crystal of Tc3BiS relaxed with PBEsol.

* N(E_F): 4.5 states/eV/cell
* M_tot: 9.016 Bohr magnetons per cell
* ΔE_f (raw): 2.470 eV per atom
* symmetry: Pm-3m (221)

Structure (CIF):
```
data_Tc3BiS
_chemical_formula_sum 'Tc3 Bi1 S1'
_cell_length_a 5.053
_cell_length_b 5.053
_cell_length_c 5.053
_cell_angle_alpha 90.00
_cell_angle_beta 90.00
_cell_angle_gamma 90.00
_space_group_name_H-M_alt 'P 1'
_space_group_IT_number 1
loop_
_space_group_symop_operation_xyz
'x,y,z'
loop_
_atom_site_label
_atom_site_type_symbol
_atom_site_fract_x
_atom_site_fract_y
_atom_site_fract_z
Tc1 Tc 0.000 0.000 0.500
Tc2 Tc 0.000 0.500 0.000
Tc3 Tc 0.500 0.000 0.000
Bi1 Bi 0.000 0.000 0.000
S1 S 0.500 0.500 0.500
```